# 1
Compound: Tc2BS
Source: Alexandria via LeMat-Bulk
Functional: PBE
Structure: optimized geometry Values from VASP.

Cell and atoms, written as Quantum ESPRESSO input:
```
&SYSTEM
  ibrav = 0, nat = 4, ntyp = 3
/
ATOMIC_SPECIES
S 32.06 S.upf
B 10.81 B.upf
Tc 98.00 Tc.upf
ATOMIC_POSITIONS crystal
S 0.500 0.500 0.500
B 0.000 0.000 0.000
Tc 0.250 0.250 0.250
Tc 0.750 0.750 0.750
CELL_PARAMETERS angstrom
0.000 2.845 2.845
2.845 0.000 2.845
2.845 2.845 0.000
```

Computed properties:
The raw total energy is -30.92 eV per cell. Its density of states at the Fermi level is 2.140 states/eV/cell. The uncorrected formation energy is 0.154 eV/atom. The distance to the lowest polymorph of the same formula comes out at 0.000 eV per atom.


# 2
Compound: TcBS3
Source: Alexandria via LeMat-Bulk
Functional: PBE
Structure: optimized geometry Values from VASP.

Cell and atoms, written as Quantum ESPRESSO input:
```
&SYSTEM
  ibrav = 0, nat = 5, ntyp = 3
/
ATOMIC_SPECIES
S 32.06 S.upf
B 10.81 B.upf
Tc 98.00 Tc.upf
ATOMIC_POSITIONS crystal
S 0.000 0.500 0.000
S 0.000 0.000 0.500
S 0.500 0.000 0.000
B 0.500 0.500 0.500
Tc 0.000 0.000 0.000
CELL_PARAMETERS angstrom
4.629 0.000 0.000
0.000 4.629 0.000
0.000 0.000 4.629
```

Computed properties:
The raw total energy is -23.79 eV per cell. Its density of states at the Fermi level is 5.621 states/eV/cell. The uncorrected formation energy is 1.128 eV/atom. The distance to the lowest polymorph of the same formula comes out at 0.253 eV per atom.